First-principles (PBE-GGA) data for an optimized crystal structure of CeNd8Dy2, as listed in Alexandria.

Output
As for the energy relative to the elements: 0.12 eV per atom. The value obtained for the density of states at the Fermi level is 19.32 states/eV/f.u. The value obtained for the total magnetic moment is 1.091 μB/f.u.

```
data_CeNd8Dy2
_chemical_formula_sum 'Ce2 Nd16 Dy4'
_symmetry_space_group_name_H-M 'I m m m'
_symmetry_Int_Tables_number 71
_symmetry_space_group_name_Hall '-I 2 2'
_cell_length_a 5.720
_cell_length_b 8.257
_cell_length_c 16.055
_cell_angle_alpha 90.00
_cell_angle_beta 90.00
_cell_angle_gamma 90.00
loop_
_atom_site_label
_atom_site_type_symbol
_atom_site_fract_x
_atom_site_fract_y
_atom_site_fract_z
_atom_site_occupancy
Ce1 Ce 0.000 0.000 0.000 1
Nd1 Nd 0.000 0.211 0.500 1
Nd2 Nd 0.000 0.292 0.135 1
Nd3 Nd 0.000 0.500 0.337 1
Dy1 Dy 0.000 0.000 0.300 1
```

***

First-principles (PBE-GGA) data for an optimized crystal structure of YZnRe2, as listed in Alexandria.

Output
As for the energy relative to the elements: 0.56 eV per atom. The value obtained for the density of states at the Fermi level is 4.40 states/eV/f.u. The value obtained for the total magnetic moment is 0.000 μB/f.u.

```
data_YZnRe2
_chemical_formula_sum 'Y1 Zn1 Re2'
_symmetry_space_group_name_H-M 'P 4/m m m'
_symmetry_Int_Tables_number 123
_symmetry_space_group_name_Hall '-P 4 2'
_cell_length_a 2.761
_cell_length_b 2.761
_cell_length_c 8.992
_cell_angle_alpha 90.00
_cell_angle_beta 90.00
_cell_angle_gamma 90.00
loop_
_atom_site_label
_atom_site_type_symbol
_atom_site_fract_x
_atom_site_fract_y
_atom_site_fract_z
_atom_site_occupancy
Y1 Y 0.000 0.000 0.000 1
Zn1 Zn 0.000 0.000 0.500 1
Re1 Re 0.500 0.500 0.278 1
```